4
Lattice="-6.156 7.100 -2.253 -7.649 4.853 -3.367 -7.913 5.522 -0.538" Properties=species:S:1:pos:R:3 comment="PBE ZrPt2Au, optimized geometry" formation_enthalpy_0k_mev_per_atom=-227 m_tot_mub_per_atom=0.00 dos_at_fermi_per_ev_cell=4.0 pbc="T T T"
Pt -5.429 4.368 -1.539
Au -16.259 13.082 -4.610
Pt -21.696 17.458 -6.152
Zr -10.912 8.780 -3.094



4
Lattice="-2.654 4.288 -1.081 -4.508 0.959 -2.316 -2.968 0.689 2.599" Properties=species:S:1:pos:R:3 comment="PBE ZrPt2Au, optimized geometry" formation_enthalpy_0k_mev_per_atom=-808 m_tot_mub_per_atom=0.00 dos_at_fermi_per_ev_cell=1.7 pbc="T T T"
Pt -7.597 4.452 -0.598
Pt -7.161 5.247 -3.397
Au -2.532 1.484 -0.199
Zr -5.065 2.968 -0.399



10
Lattice="6.993 0.000 0.000 0.000 6.993 0.000 0.000 0.000 3.831" Properties=species:S:1:pos:R:3 comment="PBE ZrPt2Au2, optimized geometry" formation_enthalpy_0k_mev_per_atom=-361 m_tot_mub_per_atom=0.00 dos_at_fermi_per_ev_cell=5.1 pbc="T T T"
Pt 6.059 4.431 0.000
Pt 4.431 0.935 0.000
Au 1.168 4.664 1.915
Pt 0.935 2.562 0.000
Au 5.826 2.329 1.915
Zr 0.000 0.000 0.000
Pt 2.562 6.059 0.000
Au 2.329 1.168 1.915
Au 4.664 5.826 1.915
Zr 3.497 3.497 0.000



10
Lattice="7.710 0.000 0.000 0.000 7.710 0.000 0.000 0.000 3.361" Properties=species:S:1:pos:R:3 comment="PBE Zr2Pt2Au, optimized geometry" de_polymorph_kj_per_mol_atoms=22.3 formation_enthalpy_0k_mev_per_atom=-672 m_tot_mub_per_atom=0.00 dos_at_fermi_per_ev_cell=9.5 pbc="T T T"
Pt 1.019 4.874 1.681
Pt 6.692 2.837 1.681
Zr 6.463 5.103 0.000
Au 3.855 3.855 0.000
Pt 4.874 6.692 1.681
Au 0.000 0.000 0.000
Zr 1.247 2.608 0.000
Pt 2.837 1.019 1.681
Zr 2.608 6.463 0.000
Zr 5.103 1.247 0.000



5
Lattice="3.706 0.000 2.052 1.574 4.777 1.530 -0.476 0.231 5.230" Properties=species:S:1:pos:R:3 comment="PBE Zr2Pt2Au, optimized geometry" de_polymorph_kj_per_mol_atoms=11.4 formation_enthalpy_0k_mev_per_atom=-785 m_tot_mub_per_atom=0.00 dos_at_fermi_per_ev_cell=4.5 pbc="T T T"
Pt 2.832 3.457 3.631
Zr 3.705 3.560 6.426
Au 0.000 0.000 0.000
Pt 1.972 1.551 5.182
Zr 1.099 1.448 2.388



7
Lattice="-2.165 3.305 2.994 -3.179 1.191 -3.613 -1.534 -6.950 2.460" Properties=species:S:1:pos:R:3 comment="PBE Zr2Pt4Au, optimized geometry" formation_enthalpy_0k_mev_per_atom=246 m_tot_mub_per_atom=0.00 dos_at_fermi_per_ev_cell=4.0 pbc="T T T"
Pt -1.589 0.595 -1.806
Zr -3.221 -3.601 1.647
Zr -3.656 1.147 0.194
Pt -5.187 -0.564 0.977
Pt -1.082 1.653 1.497
Au 0.000 0.000 0.000
Pt -1.690 -1.890 0.864



5
Lattice="-3.721 2.572 -2.145 -3.076 -3.894 0.666 -1.326 1.813 4.474" Properties=species:S:1:pos:R:3 comment="PBE ZrPtAu3, optimized geometry" de_polymorph_kj_per_mol_atoms=0.0 formation_enthalpy_0k_mev_per_atom=712 m_tot_mub_per_atom=0.38 dos_at_fermi_per_ev_cell=10.1 pbc="T T T"
Au -0.663 0.906 2.237
Pt 0.000 0.000 0.000
Zr -4.062 0.246 1.497
Au -1.538 -1.947 0.333
Au -1.860 1.286 -1.073



10
Lattice="7.356 0.000 0.000 0.000 7.356 0.000 0.000 0.000 3.643" Properties=species:S:1:pos:R:3 comment="PBE Zr2PtAu2, optimized geometry" de_polymorph_kj_per_mol_atoms=0.0 formation_enthalpy_0k_mev_per_atom=-525 m_tot_mub_per_atom=0.00 dos_at_fermi_per_ev_cell=9.0 pbc="T T T"
Zr 6.081 2.402 1.821
Pt 3.678 3.678 0.000
Au 0.968 2.711 0.000
Au 6.389 4.646 0.000
Pt 0.000 0.000 0.000
Au 4.646 0.968 0.000
Zr 2.402 1.276 1.821
Zr 1.276 4.954 1.821
Zr 4.954 6.081 1.821
Au 2.711 6.389 0.000



Repeat the first record exactly.
4
Lattice="-6.156 7.100 -2.253 -7.649 4.853 -3.367 -7.913 5.522 -0.538" Properties=species:S:1:pos:R:3 comment="PBE ZrPt2Au, optimized geometry" formation_enthalpy_0k_mev_per_atom=-227 m_tot_mub_per_atom=0.00 dos_at_fermi_per_ev_cell=4.0 pbc="T T T"
Pt -5.429 4.368 -1.539
Au -16.259 13.082 -4.610
Pt -21.696 17.458 -6.152
Zr -10.912 8.780 -3.094